Entry 1:
Material: TbGd
Method: DFT, PBE
State: optimized geometry

Computed properties:
Energy of formation: 0.2 eV/f.u.
E: -18.508 eV/f.u.
Space group: Pm-3m

abc: 4.022 4.022 4.022
angles: 90.00 90.00 90.00
Fractional positions:
Tb 0.000 0.000 0.000
Gd 0.500 0.500 0.500

***

Entry 2:
Material: Tb2Gd
Method: DFT, PBE
State: optimized geometry

Computed properties:
Energy of formation: 0.7 eV/f.u.
E: -22.611 eV/f.u.
Space group: Fd-3m

abc: 6.599 6.599 6.599
angles: 60.00 60.00 60.00
Fractional positions:
Tb 0.000 0.000 0.000
Tb 0.000 0.000 0.500
Tb 0.000 0.500 0.000
Tb 0.500 0.000 0.000
Gd 0.375 0.375 0.375
Gd 0.625 0.625 0.625

***

Entry 3:
Material: Tb3Gd
Method: DFT, PBE
State: optimized geometry

Computed properties:
Energy of formation: 0.1 eV/f.u.
E: -27.916 eV/f.u.
Space group: I4/mmm

abc: 6.176 6.176 6.176
angles: 131.83 131.83 70.50
Fractional positions:
Tb 0.000 0.000 0.000
Tb 0.250 0.750 0.500
Tb 0.750 0.250 0.500
Gd 0.500 0.500 0.000

***

Entry 4:
Material: Tb3Gd
Method: DFT, PBE
State: optimized geometry

Computed properties:
Energy of formation: 0.0 eV/f.u.
E: -27.930 eV/f.u.
Space group: Pmm2

abc: 3.624 5.715 6.281
angles: 90.00 90.00 90.00
Fractional positions:
Tb 0.000 0.000 0.000
Tb 0.000 0.500 0.332
Tb 0.500 0.500 0.833
Gd 0.500 0.000 0.499

***

Entry 5:
Material: Tb3Gd
Method: DFT, PBE
State: optimized geometry

Computed properties:
Energy of formation: 0.1 eV/f.u.
E: -27.908 eV/f.u.
Space group: Pm-3m

abc: 5.039 5.039 5.039
angles: 90.00 90.00 90.00
Fractional positions:
Tb 0.000 0.000 0.500
Tb 0.000 0.500 0.000
Tb 0.500 0.000 0.000
Gd 0.500 0.500 0.500

***

Entry 6:
Material: Tb3Gd
Method: DFT, PBE
State: optimized geometry

Computed properties:
Energy of formation: 0.5 eV/f.u.
E: -27.482 eV/f.u.
Space group: Fm-3m

abc: 5.684 5.684 5.684
angles: 60.00 60.00 60.00
Fractional positions:
Tb 0.000 0.000 0.000
Tb 0.250 0.250 0.250
Tb 0.750 0.750 0.750
Gd 0.500 0.500 0.500